1.
A plane-wave DFT calculation with PBE was carried out for a geometry-optimized Zr4TlInN2 structure.

## Properties
**Total DFT energy (no corrections)**: -8.0128 eV per atom

Cell lengths 3.3096, 3.3096, 14.9497 Å; angles 90.00, 90.00, 120.00 degrees
Space group P-6m2 (No. 187)
Asymmetric unit:
1 Zr 0.0000 0.0000 0.1657 x2
2 Zr 0.3333 0.6667 0.3329 x2
3 Tl 0.0000 0.0000 0.5000 x1
4 In 0.3333 0.6667 0.0000 x1
5 N 0.6667 0.3333 0.2495 x2



2.
A plane-wave DFT calculation with PBE was carried out for a geometry-optimized InW2N structure.

## Properties
**Total DFT energy (no corrections)**: -8.9591 eV per atom

Cell lengths 9.1769, 5.4477, 14.7480 Å; angles 90.00, 104.70, 90.00 degrees
Space group C2/c (No. 15)
Asymmetric unit:
1 In 0.0000 0.1122 0.2500 x4
2 In 0.1763 0.3709 0.7459 x8
3 W 0.0731 0.4933 0.4045 x8
4 W 0.1082 0.0603 0.5752 x8
5 W 0.2340 0.0737 0.9206 x8
6 N 0.0459 0.2940 0.0207 x8
7 N 0.2500 0.2500 0.5000 x4



3.
A plane-wave DFT calculation with PBE was carried out for a geometry-optimized InW3N5 structure.

## Properties
**Total DFT energy (no corrections)**: -8.4754 eV per atom

Cell lengths 5.2710, 5.2710, 5.8728 Å; angles 90.00, 90.00, 120.00 degrees
Space group P6/mmm (No. 191)
Asymmetric unit:
1 In 0.0000 0.0000 0.0000 x1
2 W 0.0000 0.5000 0.5000 x3
3 N 0.0000 0.0000 0.5000 x1
4 N 0.3333 0.6667 0.2672 x4



4.
A plane-wave DFT calculation with PBE was carried out for a geometry-optimized InW2N structure.

## Properties
**Total DFT energy (no corrections)**: -8.9236 eV per atom

Cell lengths 2.9110, 2.9110, 15.5085 Å; angles 90.00, 90.00, 120.00 degrees
Space group P6_3/mmc (No. 194)
Asymmetric unit:
1 In 0.3333 0.6667 0.2500 x2
2 W 0.3333 0.6667 0.5913 x4
3 N 0.0000 0.0000 0.0000 x2



5.
A plane-wave DFT calculation with PBE was carried out for a geometry-optimized InW4N3 structure.

## Properties
**Total DFT energy (no corrections)**: -9.7001 eV per atom

Cell lengths 2.8496, 2.8496, 27.6632 Å; angles 90.00, 90.00, 120.00 degrees
Space group P6_3/mmc (No. 194)
Asymmetric unit:
1 In 0.3333 0.6667 0.2500 x2
2 W 0.0000 0.0000 0.1606 x4
3 W 0.3333 0.6667 0.0540 x4
4 N 0.0000 0.0000 0.0000 x2
5 N 0.3333 0.6667 0.6097 x4



6.
A plane-wave DFT calculation with PBE was carried out for a geometry-optimized Y4In3W2N3 structure.

## Properties
**Total DFT energy (no corrections)**: -7.7497 eV per atom

Cell lengths 10.0980, 5.9010, 14.9857 Å; angles 90.00, 102.93, 90.00 degrees
Space group C2/c (No. 15)
Asymmetric unit:
1 Y 0.1142 0.0797 0.0927 x8
2 Y 0.2170 0.0870 0.4073 x8
3 In 0.0000 0.1316 0.7500 x4
4 In 0.1444 0.4392 0.2482 x8
5 W 0.0645 0.4123 0.9301 x8
6 N 0.0785 0.2642 0.5000 x8
7 N 0.2500 0.2500 0.0000 x4



7.
A plane-wave DFT calculation with PBE was carried out for a geometry-optimized Y2In3W4N3 structure.

## Properties
**Total DFT energy (no corrections)**: -8.4435 eV per atom

Cell lengths 9.8888, 5.7625, 14.1431 Å; angles 90.00, 103.92, 90.00 degrees
Space group C2/c (No. 15)
Asymmetric unit:
1 Y 0.0452 0.0824 0.3890 x8
2 In 0.0000 0.4514 0.7500 x4
3 In 0.2313 0.1468 0.7489 x8
4 W 0.1098 0.4278 0.5680 x8
5 W 0.2201 0.4124 0.9316 x8
6 N 0.0789 0.2382 0.0000 x8
7 N 0.2500 0.2500 0.5000 x4



8.
A plane-wave DFT calculation with PBE was carried out for a geometry-optimized Y2InWN6 structure.

## Properties
**Total DFT energy (no corrections)**: -8.0977 eV per atom

Cell lengths 5.7809, 5.7809, 13.4048 Å; angles 90.00, 90.00, 120.00 degrees
Space group R-3 (No. 148, hexagonal axes)
Asymmetric unit:
1 Y 0.0000 0.0000 0.2372 x6
2 In 0.0000 0.0000 0.5000 x3
3 W 0.0000 0.0000 0.0000 x3
4 N 0.0282 0.6163 0.7518 x18



9.
A plane-wave DFT calculation with PBE was carried out for a geometry-optimized Y4ZnInN2 structure.

## Properties
**Total DFT energy (no corrections)**: -6.7696 eV per atom

Cell lengths 3.5212, 3.5212, 15.2917 Å; angles 90.00, 90.00, 120.00 degrees
Space group P-6m2 (No. 187)
Asymmetric unit:
1 Y 0.0000 0.0000 0.1511 x2
2 Y 0.3333 0.6667 0.3278 x2
3 Zn 0.3333 0.6667 0.0000 x1
4 In 0.0000 0.0000 0.5000 x1
5 N 0.6667 0.3333 0.2441 x2



10.
A plane-wave DFT calculation with PBE was carried out for a geometry-optimized Zn3InN structure.

## Properties
**Total DFT energy (no corrections)**: -2.5706 eV per atom

Cell lengths 4.2828, 4.2828, 4.2828 Å; angles 90.00, 90.00, 90.00 degrees
Space group Pm-3m (No. 221)
Asymmetric unit:
1 Zn 0.0000 0.0000 0.5000 x3
2 In 0.5000 0.5000 0.5000 x1
3 N 0.0000 0.0000 0.0000 x1



11.
A plane-wave DFT calculation with PBE was carried out for a geometry-optimized Zr4InN3 structure.

## Properties
**Total DFT energy (no corrections)**: -9.1234 eV per atom

Cell lengths 3.2680, 3.2680, 25.6269 Å; angles 90.00, 90.00, 120.00 degrees
Space group P6_3/mmc (No. 194)
Asymmetric unit:
1 Zr 0.0000 0.0000 0.1530 x4
2 Zr 0.3333 0.6667 0.0532 x4
3 In 0.3333 0.6667 0.2500 x2
4 N 0.0000 0.0000 0.0000 x2
5 N 0.3333 0.6667 0.6038 x4



12.
A plane-wave DFT calculation with PBE was carried out for a geometry-optimized Zr3InN5 structure.

## Properties
**Total DFT energy (no corrections)**: -7.8500 eV per atom

Cell lengths 5.6737, 5.6737, 4.4959 Å; angles 90.00, 90.00, 120.00 degrees
Space group P6/mmm (No. 191)
Asymmetric unit:
1 Zr 0.0000 0.5000 0.0000 x3
2 In 0.0000 0.0000 0.5000 x1
3 N 0.0000 0.0000 0.0000 x1
4 N 0.3333 0.6667 0.3475 x4



13.
A plane-wave DFT calculation with PBE was carried out for a geometry-optimized NaNbIn structure.

## Properties
**Total DFT energy (no corrections)**: -3.4275 eV per atom

Cell lengths 6.5636, 6.5636, 6.5636 Å; angles 90.00, 90.00, 90.00 degrees
Space group F-43m (No. 216)
Asymmetric unit:
1 Na 0.0000 0.0000 0.0000 x4
2 Nb 0.2500 0.2500 0.2500 x4
3 In 0.2500 0.2500 0.7500 x4



14.
A plane-wave DFT calculation with PBE was carried out for a geometry-optimized NaNdInSe3 structure.

## Properties
**Total DFT energy (no corrections)**: -4.2695 eV per atom

Cell lengths 4.7098, 13.3586, 11.3592 Å; angles 90.00, 90.00, 90.00 degrees
Space group Cmcm (No. 63)
Asymmetric unit:
1 Na 0.0000 0.2453 0.2500 x4
2 Nd 0.0000 0.0000 0.0000 x4
3 In 0.0000 0.4915 0.7500 x4
4 Se 0.0000 0.0878 0.7500 x4
5 Se 0.0000 0.3640 0.5668 x8



15.
A plane-wave DFT calculation with PBE was carried out for a geometry-optimized NaInNiS3 structure.

## Properties
**Total DFT energy (no corrections)**: -4.2626 eV per atom

Cell lengths 7.5320, 3.7272, 9.3009 Å; angles 90.00, 101.59, 90.00 degrees
Space group P2_1/m (No. 11)
Asymmetric unit:
1 Na 0.2307 0.2500 0.2787 x2
2 In 0.3175 0.7500 0.8820 x2
3 Ni 0.0727 0.2500 0.5881 x2
4 S 0.0772 0.2500 0.8359 x2
5 S 0.2107 0.7500 0.5394 x2
6 S 0.4447 0.7500 0.1590 x2



16.
A plane-wave DFT calculation with PBE was carried out for a geometry-optimized NaInNiSe3 structure.

## Properties
**Total DFT energy (no corrections)**: -3.8860 eV per atom

Cell lengths 7.9134, 3.9094, 9.5372 Å; angles 90.00, 100.48, 90.00 degrees
Space group P2_1/m (No. 11)
Asymmetric unit:
1 Na 0.2264 0.2500 0.2838 x2
2 In 0.3178 0.7500 0.8837 x2
3 Ni 0.0641 0.2500 0.5862 x2
4 Se 0.0743 0.2500 0.8405 x2
5 Se 0.2162 0.7500 0.5471 x2
6 Se 0.4447 0.7500 0.1647 x2



17.
A plane-wave DFT calculation with PBE was carried out for a geometry-optimized NaInNiSe3 structure.

## Properties
**Total DFT energy (no corrections)**: -3.8107 eV per atom

Cell lengths 3.9044, 13.0941, 10.9143 Å; angles 90.00, 90.00, 90.00 degrees
Space group Cmcm (No. 63)
Asymmetric unit:
1 Na 0.0000 0.2436 0.2500 x4
2 In 0.0000 0.0000 0.0000 x4
3 Ni 0.0000 0.4742 0.7500 x4
4 Se 0.0000 0.0771 0.7500 x4
5 Se 0.0000 0.3653 0.5715 x8



18.
A plane-wave DFT calculation with PBE was carried out for a geometry-optimized NaInNiSn structure.

## Properties
**Total DFT energy (no corrections)**: -3.2314 eV per atom

Cell lengths 6.8700, 6.8700, 6.8700 Å; angles 90.00, 90.00, 90.00 degrees
Space group F-43m (No. 216)
Asymmetric unit:
1 Na 0.0000 0.0000 0.0000 x4
2 In 0.2500 0.2500 0.7500 x4
3 Ni 0.2500 0.2500 0.2500 x4
4 Sn 0.0000 0.0000 0.5000 x4



19.
A plane-wave DFT calculation with PBE was carried out for a geometry-optimized NaInNiSn structure.

## Properties
**Total DFT energy (no corrections)**: -3.2003 eV per atom

Cell lengths 6.9062, 6.9062, 6.9062 Å; angles 90.00, 90.00, 90.00 degrees
Space group F-43m (No. 216)
Asymmetric unit:
1 Na 0.0000 0.0000 0.0000 x4
2 In 0.0000 0.0000 0.5000 x4
3 Ni 0.2500 0.2500 0.2500 x4
4 Sn 0.2500 0.2500 0.7500 x4



20.
A plane-wave DFT calculation with PBE was carried out for a geometry-optimized NaInNiSn structure.

## Properties
**Total DFT energy (no corrections)**: -3.3798 eV per atom

Cell lengths 6.7519, 6.7519, 6.7519 Å; angles 90.00, 90.00, 90.00 degrees
Space group F-43m (No. 216)
Asymmetric unit:
1 Na 0.0000 0.0000 0.0000 x4
2 In 0.2500 0.2500 0.2500 x4
3 Ni 0.0000 0.0000 0.5000 x4
4 Sn 0.2500 0.2500 0.7500 x4